Entry 1:
The following is a DFT calculation (PBE) of a relaxed CsAl2Sb2O7 crystal.

Lattice parameters (Å, degrees): 5.7300 5.7300 26.6315 90.00 90.00 120.00
Space group R32 (No. 155, hexagonal axes)
One atom of each set of equivalent atoms:
Cs (0.0000, 0.0000, 0.0000)
Al (0.0000, 0.0000, 0.4352)
Sb (0.0000, 0.0000, 0.2219)
O (0.0000, 0.0000, 0.5000)
O (0.0052, 0.4526, 0.0766)

Values from the calculation:
Magnetic moment   3.21 μB/cell
Volume   21.03 Å³/atom
Formation energy without anion corrections   -2007 meV per atom


Entry 2:
The following is a DFT calculation (PBE) of a relaxed Ba2Sc crystal.

Lattice parameters (Å, degrees): 9.459 9.459 6.447 90.00 90.00 90.00
Space group I4/mcm (No. 140)
One atom of each set of equivalent atoms:
Ba (0.163, 0.337, 0.000)
Sc (0.000, 0.000, 0.250)

Values from the calculation:
Energy above the most stable polymorph in this dataset   88 meV/atom
ΔH_f (0 K)   335 meV per atom
Magnetic moment   0.92 μB/cell
Volume   48.07 Å³/atom


Entry 3:
The following is a DFT calculation (PBE) of a relaxed BiMoOsI2 crystal.

Lattice parameters (Å, degrees): 5.552 5.552 5.166 90.00 90.00 90.00
Space group P4/mmm (No. 123)
One atom of each set of equivalent atoms:
Bi (0.000, 0.000, 0.000)
Mo (0.500, 0.500, 0.000)
Os (0.000, 0.000, 0.500)
I (0.000, 0.500, 0.500)

Values from the calculation:
Magnetic moment   4.41 μB/cell
Volume   31.85 Å³/atom
Formation energy without anion corrections   1482 meV per atom


Entry 4:
The following is a DFT calculation (PBE) of a relaxed Sb2IrAu crystal.

Lattice parameters (Å, degrees): 3.180 3.180 8.546 90.00 90.00 90.00
Space group P4mm (No. 99)
One atom of each set of equivalent atoms:
Sb (0.000, 0.000, 0.000)
Sb (0.500, 0.500, 0.357)
Ir (0.500, 0.500, 0.822)
Au (0.000, 0.000, 0.595)

Values from the calculation:
Energy above the most stable polymorph in this dataset   152 meV/atom
Magnetic moment   0.00 μB/cell
Volume   21.60 Å³/atom
Formation energy without anion corrections   145 meV per atom


Entry 5:
The following is a DFT calculation (PBE) of a relaxed YCo4Cu crystal.

Lattice parameters (Å, degrees): 6.923 6.923 6.923 90.00 90.00 90.00
Space group F-43m (No. 216)
One atom of each set of equivalent atoms:
Y (0.000, 0.000, 0.000)
Co (0.124, 0.124, 0.624)
Cu (0.250, 0.250, 0.250)

Values from the calculation:
ΔH_f (0 K)   -40 meV per atom
Magnetic moment   22.98 μB/cell
Volume   13.82 Å³/atom


Entry 6:
The following is a DFT calculation (PBE) of a relaxed Nd7Zn2Os2 crystal.

Lattice parameters (Å, degrees): 8.001 11.241 7.246 90.00 90.00 90.00
Space group Cmmm (No. 65)
One atom of each set of equivalent atoms:
Nd (0.000, 0.000, 0.000)
Nd (0.000, 0.500, 0.250)
Nd (0.250, 0.250, 0.261)
Zn (0.161, 0.000, 0.500)
Os (0.000, 0.299, 0.000)

Values from the calculation:
ΔH_f (0 K)   -40 meV per atom
Magnetic moment   0.00 μB/cell
Volume   29.62 Å³/atom


Entry 7:
The following is a DFT calculation (PBE) of a relaxed Cu8Pd3Rh crystal.

Lattice parameters (Å, degrees): 6.749 6.749 8.500 90.00 90.00 90.00
Space group I-42m (No. 121)
One atom of each set of equivalent atoms:
Cu (0.134, 0.134, 0.253)
Cu (0.248, 0.248, 0.505)
Pd (0.000, 0.000, 0.000)
Pd (0.000, 0.500, 0.250)
Rh (0.000, 0.000, 0.500)

Values from the calculation:
ΔH_f (0 K)   506 meV per atom
Magnetic moment   0.00 μB/cell
Volume   16.13 Å³/atom


Entry 8:
The following is a DFT calculation (PBE) of a relaxed Dy6YSc8 crystal.

Lattice parameters (Å, degrees): 9.1861 9.1861 17.2555 90.00 90.00 120.00
Space group R-3 (No. 148, hexagonal axes)
One atom of each set of equivalent atoms:
Dy (0.0223, 0.2363, 0.4074)
Y (0.0000, 0.0000, 0.0000)
Sc (0.0000, 0.0000, 0.2314)
Sc (0.0523, 0.2809, 0.9003)

Values from the calculation:
ΔH_f (0 K)   196 meV per atom
Magnetic moment   0.00 μB/cell
Volume   28.02 Å³/atom


Entry 9:
The following is a DFT calculation (PBE) of a relaxed EuSc3Rh crystal.

Lattice parameters (Å, degrees): 5.128 5.128 5.128 90.00 90.00 90.00
Space group Pm-3m (No. 221)
One atom of each set of equivalent atoms:
Eu (0.000, 0.000, 0.000)
Sc (0.000, 0.500, 0.500)
Rh (0.500, 0.500, 0.500)

Values from the calculation:
ΔH_f (0 K)   -288 meV per atom
Magnetic moment   7.37 μB/cell
Volume   26.97 Å³/atom


Entry 10:
The following is a DFT calculation (PBE) of a relaxed La3Ge2Br2 crystal.

Lattice parameters (Å, degrees): 4.345 7.527 8.184 76.87 89.89 73.60
Space group P-1 (No. 2)
One atom of each set of equivalent atoms:
La (0.000, 0.000, 0.000)
La (0.229, 0.538, 0.763)
Ge (0.375, 0.253, 0.095)
Br (0.144, 0.718, 0.364)

Values from the calculation:
Magnetic moment   0.00 μB/cell
Volume   35.64 Å³/atom
Formation energy without anion corrections   -1106 meV per atom


Entry 11:
The following is a DFT calculation (PBE) of a relaxed Dy3PdPb crystal.

Lattice parameters (Å, degrees): 23.058 4.651 4.934 90.00 90.01 90.00
Space group C2/m (No. 12)
One atom of each set of equivalent atoms:
Dy (0.052, 0.000, 0.250)
Dy (0.171, 0.000, 0.750)
Dy (0.174, 0.500, 0.250)
Pd (0.249, 0.000, 0.249)
Pb (0.067, 0.500, 0.750)

Values from the calculation:
ΔH_f (0 K)   -556 meV per atom
Magnetic moment   0.00 μB/cell
Volume   26.46 Å³/atom


Entry 12:
The following is a DFT calculation (PBE) of a relaxed MgTlAgCl4 crystal.

Lattice parameters (Å, degrees): 6.647 7.283 8.619 90.00 104.04 90.00
Space group P2_1/m (No. 11)
One atom of each set of equivalent atoms:
Mg (0.244, 0.250, 0.321)
Tl (0.243, 0.750, 0.045)
Ag (0.165, 0.750, 0.524)
Cl (0.009, 0.511, 0.713)
Cl (0.364, 0.250, 0.089)
Cl (0.491, 0.250, 0.566)

Values from the calculation:
Magnetic moment   0.00 μB/cell
Volume   28.91 Å³/atom
Formation energy without anion corrections   -1171 meV per atom


Entry 13:
The following is a DFT calculation (PBE) of a relaxed K2CdAs crystal.

Lattice parameters (Å, degrees): 4.464 5.668 10.752 90.00 90.00 90.00
Space group Imm2 (No. 44)
One atom of each set of equivalent atoms:
K (0.000, 0.000, 0.000)
K (0.000, 0.500, 0.195)
Cd (0.000, 0.000, 0.405)
As (0.000, 0.500, 0.767)

Values from the calculation:
Energy above the most stable polymorph in this dataset   18 meV/atom
ΔH_f (0 K)   -242 meV per atom
Magnetic moment   0.00 μB/cell
Volume   34.01 Å³/atom


Entry 14:
The following is a DFT calculation (PBE) of a relaxed InAg3Au3 crystal.

Lattice parameters (Å, degrees): 7.538 7.538 7.538 90.00 90.00 90.00
Space group Pm-3n (No. 223)
One atom of each set of equivalent atoms:
In (0.000, 0.000, 0.000)
Ag (0.000, 0.250, 0.500)
Au (0.000, 0.500, 0.250)

Values from the calculation:
Energy above the most stable polymorph in this dataset   577 meV/atom
ΔH_f (0 K)   520 meV per atom
Magnetic moment   0.00 μB/cell
Volume   30.59 Å³/atom


Entry 15:
The following is a DFT calculation (PBE) of a relaxed CsRuSe2 crystal.

Lattice parameters (Å, degrees): 7.203 7.203 7.203 90.00 90.00 90.00
Space group Fm-3m (No. 225)
One atom of each set of equivalent atoms:
Cs (0.000, 0.000, 0.000)
Ru (0.000, 0.000, 0.500)
Se (0.250, 0.250, 0.250)

Values from the calculation:
Energy above the most stable polymorph in this dataset   1110 meV/atom
Magnetic moment   0.00 μB/cell
Volume   23.35 Å³/atom
Formation energy without anion corrections   616 meV per atom


Entry 16:
The following is a DFT calculation (PBE) of a relaxed PIrO crystal.

Lattice parameters (Å, degrees): 3.376 4.382 5.296 90.00 90.00 90.00
Space group Pmn2_1 (No. 31)
One atom of each set of equivalent atoms:
P (0.000, 0.084, 0.000)
Ir (0.000, 0.237, 0.594)
O (0.000, 0.388, 0.184)

Values from the calculation:
Energy above the most stable polymorph in this dataset   0 meV/atom
Magnetic moment   0.00 μB/cell
Volume   13.06 Å³/atom
Formation energy without anion corrections   -1023 meV per atom


Entry 17:
The following is a DFT calculation (PBE) of a relaxed Sr4LaAl crystal.

Lattice parameters (Å, degrees): 10.205 10.205 10.205 90.00 90.00 90.00
Space group F-43m (No. 216)
One atom of each set of equivalent atoms:
Sr (0.125, 0.125, 0.125)
La (0.000, 0.000, 0.500)
Al (0.250, 0.250, 0.750)

Values from the calculation:
ΔH_f (0 K)   513 meV per atom
Magnetic moment   6.43 μB/cell
Volume   44.28 Å³/atom


Entry 18:
The following is a DFT calculation (PBE) of a relaxed ZrTi4Ni crystal.

Lattice parameters (Å, degrees): 2.999 2.999 11.357 90.00 90.00 90.00
Space group P4/mmm (No. 123)
One atom of each set of equivalent atoms:
Zr (0.000, 0.000, 0.000)
Ti (0.000, 0.000, 0.364)
Ti (0.500, 0.500, 0.201)
Ni (0.500, 0.500, 0.500)

Values from the calculation:
ΔH_f (0 K)   -116 meV per atom
Magnetic moment   0.00 μB/cell
Volume   17.02 Å³/atom


Entry 19:
The following is a DFT calculation (PBE) of a relaxed NaTmPdAu crystal.

Lattice parameters (Å, degrees): 6.897 6.897 6.897 90.00 90.00 90.00
Space group F-43m (No. 216)
One atom of each set of equivalent atoms:
Na (0.000, 0.000, 0.000)
Tm (0.000, 0.000, 0.500)
Pd (0.250, 0.250, 0.750)
Au (0.250, 0.250, 0.250)

Values from the calculation:
ΔH_f (0 K)   -566 meV per atom
Magnetic moment   0.00 μB/cell
Volume   20.51 Å³/atom


Entry 20:
The following is a DFT calculation (PBE) of a relaxed BaSr2Au2 crystal.

Lattice parameters (Å, degrees): 8.641 8.641 4.603 90.00 90.00 90.00
Space group P4/mbm (No. 127)
One atom of each set of equivalent atoms:
Ba (0.000, 0.000, 0.000)
Sr (0.160, 0.340, 0.500)
Au (0.128, 0.628, 0.000)

Values from the calculation:
Energy above the most stable polymorph in this dataset   16 meV/atom
ΔH_f (0 K)   -612 meV per atom
Magnetic moment   0.00 μB/cell
Volume   34.37 Å³/atom